Below is a relaxed Nd5Tm3Sb8 crystal, with properties calculated at the PBE level.

The space group is R-3m (No. 166, hexagonal axes) and the conventional cell measures 8.9177, 8.9177 and 21.8077 Å, with angles of 90.00, 90.00 and 120.00 degrees. The asymmetric unit holds Nd at (0.0000, 0.0000, 0.0000), Nd at (0.0000, 0.0000, 0.5000), Nd at (0.0000, 0.5000, 0.0000), Tm at (0.0000, 0.5000, 0.5000), Sb at (0.0000, 0.0000, 0.2458) and Sb at (0.0056, 0.5028, 0.7528).

The formation energy (no corrections) is -1.134 eV per atom. The value obtained for the calculated total energy is -5.5240 eV/atom.